BaAl2Mo: relaxed, PBE.

The structure in extended XYZ format:
```
4
Lattice="4.4994 0.0000 0.0000 0.0000 4.4994 0.0000 0.0000 0.0000 4.7483" Properties=species:S:1:pos:R:3 pbc="T T T"
Ba 0.0000 0.0000 0.0000
Al 0.0000 2.2497 2.3742
Al 2.2497 0.0000 2.3742
Mo 2.2497 2.2497 0.0000
```

## Properties
Energy relative to the lowest polymorph listed for this composition   0.7297 eV per atom
ΔH_f (0 K)   0.833 eV/atom
Crystal system   tetragonal